The following is a GGA+U calculation of a relaxed structure of NiAsPbO5, from Alexandria via LeMat-Bulk.

Space-group type: C2/c, No. 15
Magnetic moment in μB/cell: 3.92
Density of states at the Fermi level in states/eV/f.u.: 0.7
Uncorrected energy in eV/atom: -5.42

abc: 5.9716 5.9716 7.9672
angles: 99.01 99.01 117.96
Last column: nearest neighbours and their distance in Å.
Element x y z (fractional)
O  0.0142  0.6331  0.8199  1 As 1.77, 1 Ni 1.92
O  0.6331  0.0142  0.3199  1 As 1.77, 1 Ni 1.92
O  0.2564  0.4759  0.5662  1 As 1.71
As  0.3014  0.6986  0.7500  4 O 1.71-1.77
Pb  0.0000  0.0000  0.0000  4 O 2.20-2.43
Ni  0.2821  0.7179  0.2500  3 O 1.92-1.95
O  0.0912  0.9088  0.2500  1 Ni 1.95
O  0.4759  0.2564  0.0662  1 As 1.71
Pb  0.0000  0.0000  0.5000  4 O 2.20-2.43
As  0.6986  0.3014  0.2500  4 O 1.71-1.77
O  0.9858  0.3669  0.1801  1 As 1.77, 1 Ni 1.92
O  0.3669  0.9858  0.6801  1 As 1.77, 1 Ni 1.92
O  0.5241  0.7436  0.9338  1 As 1.71
O  0.7436  0.5241  0.4338  1 As 1.71
O  0.9088  0.0912  0.7500  1 Ni 1.95
Ni  0.7179  0.2821  0.7500  3 O 1.92-1.95